This record from Alexandria describes crystalline TiSeO2 at its relaxed geometry. The functional is GGA-PBE.

Cell: 8.570 8.570 8.570 Å, 19.62 19.62 19.62°
Fractional positions:
Se 0.000 0.000 0.000
O 0.873 0.873 0.873
O 0.127 0.127 0.127
Ti 0.500 0.500 0.500

- E_form (uncorrected): -1.9555 eV/atom

***

This record from Alexandria describes crystalline Th2CdTe at its relaxed geometry. The functional is GGA-PBE.

Cell: 3.714 3.714 8.307 Å, 90.00 90.00 90.00°
Fractional positions:
Th 0.000 0.000 0.245
Th 0.000 0.000 0.755
Te 0.500 0.500 0.000
Cd 0.500 0.500 0.500

- Energy above the most stable polymorph in this dataset: 0 meV/atom
- E_form (uncorrected): -0.5065 eV/atom

***

This record from Alexandria describes crystalline SrAgSb at its relaxed geometry. The functional is GGA-PBE.

Cell: 5.551 5.551 5.551 Å, 132.59 132.56 69.32°
Fractional positions:
Ag 0.988 0.988 0.000
Sr 0.331 0.331 0.000
Sb 0.681 0.681 0.000

- E_form (uncorrected): -0.3573 eV/atom

***

This record from Alexandria describes crystalline Cd6AgAu5 at its relaxed geometry. The functional is GGA-PBE.

Cell: 4.422 8.129 6.805 Å, 90.00 71.87 90.00°
Fractional positions:
Au 0.669 0.500 0.663
Au 0.338 0.000 0.327
Au 0.662 0.000 0.673
Au 0.331 0.500 0.337
Au 0.000 0.500 0.000
Cd 0.167 0.751 0.666
Cd 0.167 0.249 0.666
Cd 0.833 0.249 0.334
Cd 0.833 0.751 0.334
Cd 0.500 0.747 0.000
Cd 0.500 0.253 0.000
Ag 0.000 0.000 0.000

- Energy above the most stable polymorph in this dataset: 0 meV/atom

***

This record from Alexandria describes crystalline NaHfRh2Pb at its relaxed geometry. The functional is GGA-PBE.

Cell: 4.984 4.824 4.984 Å, 90.00 90.00 90.00°
Fractional positions:
Rh 0.000 0.000 0.500
Rh 0.500 0.000 0.000
Na 0.000 0.500 0.000
Hf 0.500 0.500 0.500
Pb 0.000 0.000 0.000

- Raw total energy: -4.841 eV/atom

***

This record from Alexandria describes crystalline Pr12Tm7Mg at its relaxed geometry. The functional is GGA-PBE.

Cell: 10.108 10.108 10.108 Å, 109.47 109.47 109.47°
Fractional positions:
Tm 0.500 0.000 0.500
Tm 0.000 0.500 0.500
Tm 0.500 0.500 0.500
Tm 0.500 0.000 0.000
Tm 0.000 0.500 0.000
Tm 0.500 0.500 0.000
Tm 0.000 0.000 0.500
Pr 0.004 0.750 0.254
Pr 0.250 0.746 0.996
Pr 0.250 0.254 0.504
Pr 0.746 0.996 0.250
Pr 0.504 0.250 0.254
Pr 0.254 0.004 0.750
Pr 0.496 0.750 0.746
Pr 0.750 0.254 0.004
Pr 0.996 0.250 0.746
Pr 0.746 0.496 0.750
Pr 0.254 0.504 0.250
Pr 0.750 0.746 0.496
Mg 0.000 0.000 0.000

- Raw total energy: -3.825 eV/atom

***

This record from Alexandria describes crystalline Mg2PBr at its relaxed geometry. The functional is GGA-PBE.

Cell: 3.970 3.970 5.302 Å, 90.00 90.00 90.00°
Fractional positions:
P 0.000 0.000 0.375
Br 0.500 0.500 0.875
Mg 0.500 0.500 0.375
Mg 0.000 0.000 0.875

- Energy above the most stable polymorph in this dataset: 193 meV/atom
- E_form (uncorrected): -0.7023 eV/atom

***

This record from Alexandria describes crystalline Mg5Tl2In2 at its relaxed geometry. The functional is GGA-PBE.

Cell: 5.943 8.587 8.249 Å, 141.93 63.52 119.21°
Fractional positions:
In 0.234 0.328 0.905
In 0.766 0.672 0.095
Mg 0.017 0.235 0.551
Mg 0.630 0.186 0.962
Mg 0.983 0.765 0.449
Mg 0.000 0.000 0.000
Mg 0.370 0.814 0.038
Tl 0.655 0.378 0.504
Tl 0.345 0.622 0.496

- Energy above the most stable polymorph in this dataset: 0 meV/atom